VASP calculation (GGA-PBE) on a relaxed Co4W crystal.

V = 14.62 Å³/atom
Raw total energy = -7.3902 eV per atom

Unit cell a=4.379 b=8.170 c=8.170 alpha=90.00 beta=90.00 gamma=90.00
Each line ends with the local moment (μB).
Fractional positions:
1 Co 0.500 0.397 0.290  1.33
2 Co 0.500 0.710 0.397  1.33
3 Co 0.500 0.603 0.710  1.33
4 Co 0.500 0.897 0.210  1.33
5 Co 0.500 0.891 0.609  1.63
6 Co 0.227 0.500 0.500  1.32
7 Co 0.500 0.103 0.790  1.33
8 Co 0.773 0.500 0.500  1.32
9 Co 0.500 0.790 0.897  1.33
10 Co 0.500 0.290 0.603  1.33
11 Co 0.500 0.109 0.391  1.63
12 Co 0.227 0.000 0.000  1.32
13 Co 0.500 0.391 0.891  1.63
14 Co 0.500 0.609 0.109  1.63
15 Co 0.500 0.210 0.103  1.33
16 Co 0.773 0.000 0.000  1.32
17 W 0.000 0.894 0.394  0.03
18 W 0.000 0.606 0.894  0.03
19 W 0.000 0.394 0.106  0.03
20 W 0.000 0.106 0.606  0.03